Compound: Sr3Al2InHg6
Source: Alexandria
Functional: PBE
Structure: relaxed

Lattice parameters (Å, degrees): 6.6335 6.6335 9.2286 90.00 90.00 120.00
Atoms (fractional coordinates):
Sr 0.0000 0.0000 0.0000
Sr 0.3333 0.6667 0.6296
Sr 0.6667 0.3333 0.3704
Al 0.3333 0.6667 0.0285
Al 0.6667 0.3333 0.9715
In 0.0000 0.0000 0.5000
Hg 0.1784 0.3569 0.2708
Hg 0.1784 0.8216 0.2708
Hg 0.3569 0.1784 0.7292
Hg 0.6431 0.8216 0.2708
Hg 0.8216 0.1784 0.7292
Hg 0.8216 0.6431 0.7292

Summary:
- Crystal system: trigonal
- DOS(E_F): 4.69 states/eV per cell
- SG: P-3m1 (164)
- DFT total energy: -19.1 eV per formula unit
- ρ: 7.72 g cm⁻³

Compound: Sr2Al4In3Hg
Source: Alexandria
Functional: PBE
Structure: relaxed

Lattice parameters (Å, degrees): 4.6637 4.6637 11.6695 90.00 90.00 90.00
Atoms (fractional coordinates):
Sr 0.0000 0.5000 0.2466
Sr 0.5000 0.0000 0.7534
Al 0.0000 0.0000 0.5000
Al 0.0000 0.5000 0.8679
Al 0.5000 0.0000 0.1321
Al 0.5000 0.5000 0.5000
In 0.0000 0.0000 0.0000
In 0.0000 0.5000 0.6368
In 0.5000 0.0000 0.3632
Hg 0.5000 0.5000 0.0000

Summary:
- Crystal system: tetragonal
- DOS(E_F): 2.23 states/eV per cell
- SG: P-4m2 (115)
- DFT total energy: -29.2 eV per formula unit
- ρ: 5.42 g cm⁻³

Compound: TaAlInHg2
Source: Alexandria
Functional: PBE
Structure: relaxed

Lattice parameters (Å, degrees): 5.3965 5.3965 5.4886 90.00 90.00 90.00
Atoms (fractional coordinates):
Ta 0.0000 0.0000 0.0000
Al 0.5000 0.5000 0.5000
In 0.0000 0.0000 0.5000
Hg 0.0000 0.5000 0.0000
Hg 0.5000 0.0000 0.0000

Summary:
- Crystal system: tetragonal
- DOS(E_F): 5.69 states/eV per cell
- SG: P4/mmm (123)
- DFT total energy: -14.1 eV per formula unit
- ρ: 7.52 g cm⁻³

Compound: Tb4AlInHg2
Source: Alexandria
Functional: PBE
Structure: relaxed

Lattice parameters (Å, degrees): 9.1450 9.1450 9.1450 33.51 33.51 33.51
Atoms (fractional coordinates):
Tb 0.1222 0.1222 0.1222
Tb 0.3724 0.3724 0.3724
Tb 0.6276 0.6276 0.6276
Tb 0.8778 0.8778 0.8778
Al 0.0000 0.0000 0.0000
In 0.5000 0.5000 0.5000
Hg 0.2499 0.2499 0.2499
Hg 0.7501 0.7501 0.7501

Summary:
- Crystal system: trigonal
- DOS(E_F): 8.43 states/eV per cell
- SG: R-3m (166)
- DFT total energy: -29.1 eV per formula unit
- ρ: 9.43 g cm⁻³

Compound: TiAlInHg2
Source: Alexandria
Functional: PBE
Structure: relaxed

Lattice parameters (Å, degrees): 5.2818 5.2818 5.3571 90.00 90.00 90.00
Atoms (fractional coordinates):
Ti 0.0000 0.0000 0.0000
Al 0.5000 0.5000 0.0000
In 0.0000 0.0000 0.5000
Hg 0.0000 0.5000 0.5000
Hg 0.5000 0.0000 0.5000

Summary:
- Crystal system: tetragonal
- DOS(E_F): 4.62 states/eV per cell
- SG: P4/mmm (123)
- DFT total energy: -10.3 eV per formula unit
- ρ: 6.56 g cm⁻³

Compound: AlTlInHg
Source: Alexandria
Functional: PBE
Structure: relaxed

Lattice parameters (Å, degrees): 5.2757 5.2757 5.2757 60.00 60.00 60.00
Atoms (fractional coordinates):
Al 0.0000 0.0000 0.0000
Tl 0.7500 0.7500 0.7500
In 0.2500 0.2500 0.2500
Hg 0.5000 0.5000 0.5000

Summary:
- Crystal system: cubic
- DOS(E_F): 4.67 states/eV per cell
- SG: F-43m (216)
- DFT total energy: -8.3 eV per formula unit
- ρ: 8.74 g cm⁻³

Compound: Al2VInHg
Source: Alexandria
Functional: PBE
Structure: relaxed

Lattice parameters (Å, degrees): 5.0000 5.0000 5.3119 90.00 90.00 90.00
Atoms (fractional coordinates):
Al 0.0000 0.5000 0.0000
Al 0.5000 0.0000 0.0000
V 0.0000 0.0000 0.0000
In 0.0000 0.0000 0.5000
Hg 0.5000 0.5000 0.5000

Summary:
- Crystal system: tetragonal
- DOS(E_F): 2.58 states/eV per cell
- SG: P4/mmm (123)
- DFT total energy: -16.7 eV per formula unit
- ρ: 5.26 g cm⁻³

Compound: AlHg2Ir
Source: Alexandria
Functional: PBE
Structure: relaxed

Lattice parameters (Å, degrees): 3.9702 3.9702 8.2382 105.61 105.61 43.45
Atoms (fractional coordinates):
Al 0.0000 0.0000 0.0000
Hg 0.3177 0.3177 0.7002
Hg 0.5314 0.5314 0.4016
Ir 0.7618 0.7618 0.1472

Summary:
- Crystal system: monoclinic
- DOS(E_F): 2.25 states/eV per cell
- SG: Cm (8)
- DFT total energy: -13.0 eV per formula unit
- ρ: 12.05 g cm⁻³

- Look up the ρ of the eighth one.
  12.05 g cm⁻³